(1)
Computed, not measured: a relaxed structure of PmSmMgAg at the PBE level of DFT.

The structure belongs to space group P4mm (No. 99); the cell edges are 3.8154, 3.8154 and 7.4164 Å and the angles 90.00°, 90.00° and 90.00°. The distinct sites, in fractional coordinates, are Pm at (0.0000, 0.0000, 0.0000), Sm at (0.0000, 0.0000, 0.4854), Mg at (0.5000, 0.5000, 0.7415) and Ag at (0.5000, 0.5000, 0.2459).

As for the energy relative to the elements: -0.185 eV/atom. The calculation puts the relative energy among the computed polymorphs at 0.0 kJ/mol of atoms.



(2)
Computed, not measured: a relaxed structure of Zr4Bi3 at the PBE level of DFT.

The structure belongs to space group I-43d (No. 220); the cell edges are 8.8572, 8.8572 and 8.8572 Å and the angles 90.00°, 90.00° and 90.00°. The distinct sites, in fractional coordinates, are Zr at (0.0798, 0.4202, 0.5798) and Bi at (0.0000, 0.2500, 0.8750).

As for the energy relative to the elements: -0.320 eV/atom.



(3)
Computed, not measured: a relaxed structure of Sc4As2N at the PBE level of DFT.

The structure belongs to space group I4/mmm (No. 139); the cell edges are 4.0763, 4.0763 and 17.4943 Å and the angles 90.00°, 90.00° and 90.00°. The distinct sites, in fractional coordinates, are Sc at (0.0000, 0.0000, 0.1786), Sc at (0.0000, 0.5000, 0.0000), As at (0.0000, 0.0000, 0.3347) and N at (0.0000, 0.0000, 0.5000).

The calculation puts the relative energy among the computed polymorphs at 39.3 kJ/mol of atoms.



(4)
Computed, not measured: a relaxed structure of TaBiPb3 at the PBE level of DFT.

The structure belongs to space group Pm-3m (No. 221); the cell edges are 5.8967, 5.8967 and 5.8967 Å and the angles 90.00°, 90.00° and 90.00°. The distinct sites, in fractional coordinates, are Ta at (0.0000, 0.0000, 0.0000), Bi at (0.5000, 0.5000, 0.5000) and Pb at (0.0000, 0.5000, 0.5000).

As for the energy relative to the elements: 1.680 eV/atom. The calculation puts the relative energy among the computed polymorphs at 100.2 kJ/mol of atoms.



(5)
Computed, not measured: a relaxed structure of CsBa2ScF8 at the PBE level of DFT.

The structure belongs to space group P2/m (No. 10); the cell edges are 4.7176, 8.5588 and 5.8834 Å and the angles 90.00°, 99.12° and 90.00°. The distinct sites, in fractional coordinates, are Cs at (0.0000, 0.0000, 0.0000), Ba at (0.5000, 0.2592, 0.5000), Sc at (0.0000, 0.5000, 0.0000), F at (0.0656, 0.3229, 0.7721), F at (0.3942, 0.5000, 0.2045) and F at (0.4313, 0.0000, 0.7137).

The total energy is -5.84 eV/atom.



(6)
Computed, not measured: a relaxed structure of CaCeTm2 at the PBE level of DFT.

The structure belongs to space group R3m (No. 160, hexagonal axes); the cell edges are 3.5406, 3.5406 and 35.0664 Å and the angles 90.00°, 90.00° and 120.00°. The distinct sites, in fractional coordinates, are Ca at (0.0000, 0.0000, 0.0000), Ce at (0.0000, 0.0000, 0.8343), Tm at (0.0000, 0.0000, 0.2451) and Tm at (0.0000, 0.0000, 0.4229).

As for the energy relative to the elements: 0.094 eV/atom. The calculation puts the relative energy among the computed polymorphs at 0.0 kJ/mol of atoms.



(7)
Computed, not measured: a relaxed structure of LaMgTaBe2 at the PBE level of DFT.

The structure belongs to space group P4/mmm (No. 123); the cell edges are 4.4538, 4.4538 and 5.3473 Å and the angles 90.00°, 90.00° and 90.00°. The distinct sites, in fractional coordinates, are La at (0.0000, 0.0000, 0.0000), Mg at (0.0000, 0.0000, 0.5000), Ta at (0.5000, 0.5000, 0.0000) and Be at (0.0000, 0.5000, 0.5000).

As for the energy relative to the elements: 1.496 eV/atom.



(8)
Computed, not measured: a relaxed structure of VFeCoTc at the PBE level of DFT.

The structure belongs to space group F-43m (No. 216); the cell edges are 5.8846, 5.8846 and 5.8846 Å and the angles 90.00°, 90.00° and 90.00°. The distinct sites, in fractional coordinates, are V at (0.0000, 0.0000, 0.0000), Fe at (0.0000, 0.0000, 0.5000), Co at (0.2500, 0.2500, 0.7500) and Tc at (0.2500, 0.2500, 0.2500).

As for the energy relative to the elements: -0.033 eV/atom.



(9)
Computed, not measured: a relaxed structure of Pm7Sm6Er16 at the PBE level of DFT.

The structure belongs to space group Fm-3m (No. 225); the cell edges are 15.8186, 15.8186 and 15.8186 Å and the angles 90.00°, 90.00° and 90.00°. The distinct sites, in fractional coordinates, are Pm at (0.0000, 0.0000, 0.0000), Pm at (0.0000, 0.2500, 0.2500), Sm at (0.0000, 0.0000, 0.2631), Er at (0.1291, 0.1291, 0.1291) and Er at (0.1503, 0.1503, 0.3497).

As for the energy relative to the elements: 0.244 eV/atom.



(10)
Computed, not measured: a relaxed structure of ReAu3 at the PBE level of DFT.

The structure belongs to space group P4/mmm (No. 123); the cell edges are 2.8082, 2.8082 and 8.6602 Å and the angles 90.00°, 90.00° and 90.00°. The distinct sites, in fractional coordinates, are Re at (0.0000, 0.0000, 0.0000), Au at (0.0000, 0.0000, 0.5000) and Au at (0.5000, 0.5000, 0.2375).

As for the energy relative to the elements: 0.360 eV/atom.



Number 1: DOS(E_F) 3.2 states/eV/cell. Number 2: DOS(E_F) 17.9 states/eV/cell. Number 3: DOS(E_F) 7.6 states/eV/cell. Number 4: DOS(E_F) 6.2 states/eV/cell. Number 5: DOS(E_F) 0.0 states/eV/cell. Number 6: DOS(E_F) 22.0 states/eV/cell. Number 7: DOS(E_F) 5.5 states/eV/cell. Number 8: DOS(E_F) 14.5 states/eV/cell. Number 9: DOS(E_F) 204.1 states/eV/cell. Number 10: DOS(E_F) 2.6 states/eV/cell.